(1)
## Cs3PaHg2O6 (PBE)

Data for a relaxed Cs3PaHg2O6 crystal.

Cell lengths 6.7010, 6.7010, 7.8102 Å; angles 90.00, 90.00, 120.00 degrees
Space group P-3m1 (No. 164)
Inequivalent atoms, fractional coordinates:
Cs (0.0000, 0.0000, 0.0000) [1 per cell]
Cs (0.3333, 0.6667, 0.7306) [2 per cell]
Pa (0.0000, 0.0000, 0.5000) [1 per cell]
Hg (0.3333, 0.6667, 0.2962) [2 per cell]
O (0.1481, 0.2962, 0.3270) [6 per cell]

Properties
uncorrected formation energy = -1662.3 meV/atom
crystal system = trigonal

=====

(2)
## PmGdNi (PBE)

Data for a relaxed PmGdNi crystal.

Cell lengths 6.8277, 6.8277, 6.8277 Å; angles 90.00, 90.00, 90.00 degrees
Space group F-43m (No. 216)
Inequivalent atoms, fractional coordinates:
Pm (0.0000, 0.0000, 0.0000) [4 per cell]
Gd (0.0000, 0.0000, 0.5000) [4 per cell]
Ni (0.2500, 0.2500, 0.7500) [4 per cell]

Properties
E_form = -0.0972 eV/atom
D(E_F) = 1.298 states/eV/atom
crystal system = cubic
excess energy over the best structure of this formula in the dataset = 1.859 kcal/mol of atoms

=====

(3)
## HfSn2Au (PBE)

Data for a relaxed HfSn2Au crystal.

Cell lengths 4.5721, 4.5721, 4.1023 Å; angles 90.00, 90.00, 90.00 degrees
Space group P4/mmm (No. 123)
Inequivalent atoms, fractional coordinates:
Hf (0.0000, 0.0000, 0.0000) [1 per cell]
Sn (0.0000, 0.5000, 0.5000) [2 per cell]
Au (0.5000, 0.5000, 0.0000) [1 per cell]

Properties
E_form = -0.2016 eV/atom
D(E_F) = 0.427 states/eV/atom
crystal system = tetragonal
excess energy over the best structure of this formula in the dataset = 0.000 kcal/mol of atoms

=====

(4)
## Tm2SiPt3 (PBE)

Data for a relaxed Tm2SiPt3 crystal.

Cell lengths 5.4848, 5.4848, 8.2356 Å; angles 90.00, 90.00, 120.00 degrees
Space group P6_3/mmc (No. 194)
Inequivalent atoms, fractional coordinates:
Tm (0.3333, 0.6667, 0.0599) [4 per cell]
Si (0.0000, 0.0000, 0.0000) [2 per cell]
Pt (0.1673, 0.3345, 0.7500) [6 per cell]

Properties
D(E_F) = 0.320 states/eV/atom
uncorrected formation energy = -1169.8 meV/atom
crystal system = hexagonal

=====

(5)
## RbLa4Hg5 (PBE)

Data for a relaxed RbLa4Hg5 crystal.

Cell lengths 3.9432, 3.9432, 20.5130 Å; angles 90.00, 90.00, 90.00 degrees
Space group P4/mmm (No. 123)
Inequivalent atoms, fractional coordinates:
Rb (0.0000, 0.0000, 0.0000) [1 per cell]
La (0.0000, 0.0000, 0.2164) [2 per cell]
La (0.0000, 0.0000, 0.4059) [2 per cell]
Hg (0.5000, 0.5000, 0.1292) [2 per cell]
Hg (0.5000, 0.5000, 0.3112) [2 per cell]
Hg (0.5000, 0.5000, 0.5000) [1 per cell]

Properties
E_form = -0.4280 eV/atom
D(E_F) = 1.026 states/eV/atom
crystal system = tetragonal

=====

(6)
## BaMg4Ir (PBE)

Data for a relaxed BaMg4Ir crystal.

Cell lengths 5.0432, 5.0432, 7.8596 Å; angles 90.00, 90.00, 90.00 degrees
Space group P4/mmm (No. 123)
Inequivalent atoms, fractional coordinates:
Ba (0.0000, 0.0000, 0.0000) [1 per cell]
Mg (0.0000, 0.5000, 0.5000) [2 per cell]
Mg (0.5000, 0.5000, 0.1866) [2 per cell]
Ir (0.5000, 0.5000, 0.5000) [1 per cell]

Properties
E_form = -0.0071 eV/atom
D(E_F) = 0.745 states/eV/atom
crystal system = tetragonal
excess energy over the best structure of this formula in the dataset = 0.000 kcal/mol of atoms

=====

(7)
## La4MgZn3 (PBE)

Data for a relaxed La4MgZn3 crystal.

Cell lengths 3.8233, 5.3755, 10.7440 Å; angles 90.00, 90.00, 90.00 degrees
Space group Pmmm (No. 47)
Inequivalent atoms, fractional coordinates:
La (0.0000, 0.0000, 0.0000) [1 per cell]
La (0.0000, 0.0000, 0.5000) [1 per cell]
La (0.0000, 0.5000, 0.2389) [2 per cell]
Mg (0.5000, 0.5000, 0.5000) [1 per cell]
Zn (0.5000, 0.0000, 0.2562) [2 per cell]
Zn (0.5000, 0.5000, 0.0000) [1 per cell]

Properties
E_form = -0.2548 eV/atom
D(E_F) = 1.097 states/eV/atom
crystal system = orthorhombic

=====

(8)
## V2As2Pb (PBE)

Data for a relaxed V2As2Pb crystal.

Cell lengths 7.3807, 7.3807, 3.1883 Å; angles 90.00, 90.00, 90.00 degrees
Space group P4/mbm (No. 127)
Inequivalent atoms, fractional coordinates:
V (0.1405, 0.3595, 0.0000) [4 per cell]
As (0.1402, 0.6402, 0.5000) [4 per cell]
Pb (0.0000, 0.0000, 0.0000) [2 per cell]

Properties
E_form = -0.0265 eV/atom
D(E_F) = 0.565 states/eV/atom
crystal system = tetragonal
excess energy over the best structure of this formula in the dataset = 1.818 kcal/mol of atoms

=====

(9)
## Hf2HgTe2 (PBE)

Data for a relaxed Hf2HgTe2 crystal.

Cell lengths 7.9573, 7.9573, 3.7319 Å; angles 90.00, 90.00, 90.00 degrees
Space group P4/mbm (No. 127)
Inequivalent atoms, fractional coordinates:
Hf (0.1435, 0.3565, 0.0000) [4 per cell]
Hg (0.0000, 0.0000, 0.0000) [2 per cell]
Te (0.1483, 0.6483, 0.5000) [4 per cell]

Properties
D(E_F) = 0.204 states/eV/atom
uncorrected formation energy = -404.0 meV/atom
crystal system = tetragonal
excess energy over the best structure of this formula in the dataset = 0.000 kcal/mol of atoms

=====

(10)
## La6Tc2Pd (PBE)

Data for a relaxed La6Tc2Pd crystal.

Cell lengths 7.1412, 7.1412, 6.7329 Å; angles 90.00, 90.00, 120.00 degrees
Space group P-31m (No. 162)
Inequivalent atoms, fractional coordinates:
La (0.0000, 0.3440, 0.2351) [6 per cell]
Tc (0.3333, 0.6667, 0.0000) [2 per cell]
Pd (0.0000, 0.0000, 0.5000) [1 per cell]

Properties
E_form = -0.1115 eV/atom
D(E_F) = 0.800 states/eV/atom
crystal system = trigonal

=====

(11)
## K2Th3S6 (PBE)

Data for a relaxed K2Th3S6 crystal.

Cell lengths 7.1199, 12.3087, 7.9671 Å; angles 90.00, 107.14, 90.00 degrees
Space group C2/m (No. 12)
Inequivalent atoms, fractional coordinates:
K (0.0000, 0.1675, 0.0000) [4 per cell]
Th (0.0000, 0.0000, 0.5000) [2 per cell]
Th (0.0000, 0.3362, 0.5000) [4 per cell]
S (0.2325, 0.1685, 0.7038) [8 per cell]
S (0.2397, 0.5000, 0.7093) [4 per cell]

Properties
D(E_F) = 0.904 states/eV/atom
uncorrected formation energy = -1742.8 meV/atom
crystal system = monoclinic

=====

(12)
## BaSc2Bi2Se (PBE)

Data for a relaxed BaSc2Bi2Se crystal.

Cell lengths 5.0954, 5.0954, 7.2041 Å; angles 90.00, 90.00, 90.00 degrees
Space group P4/mmm (No. 123)
Inequivalent atoms, fractional coordinates:
Ba (0.0000, 0.0000, 0.0000) [1 per cell]
Sc (0.0000, 0.5000, 0.5000) [2 per cell]
Bi (0.5000, 0.5000, 0.2351) [2 per cell]
Se (0.0000, 0.0000, 0.5000) [1 per cell]

Properties
D(E_F) = 0.564 states/eV/atom
uncorrected formation energy = -1030.3 meV/atom
crystal system = tetragonal

=====

(13)
## Ho3Co8Cu (PBE)

Data for a relaxed Ho3Co8Cu crystal.

Cell lengths 4.9723, 4.9723, 24.3334 Å; angles 90.00, 90.00, 120.00 degrees
Space group R3m (No. 160, hexagonal axes)
Inequivalent atoms, fractional coordinates:
Ho (0.0000, 0.0000, 0.0000) [3 per cell]
Ho (0.0000, 0.0000, 0.1293) [3 per cell]
Ho (0.0000, 0.0000, 0.6156) [3 per cell]
Co (0.0000, 0.0000, 0.3116) [3 per cell]
Co (0.0000, 0.0000, 0.8125) [3 per cell]
Co (0.0025, 0.5012, 0.0637) [9 per cell]
Co (0.1671, 0.3343, 0.8935) [9 per cell]
Cu (0.0000, 0.0000, 0.4945) [3 per cell]

Properties
E_form = -0.1442 eV/atom
D(E_F) = 1.363 states/eV/atom
crystal system = trigonal

=====

(14)
## HoZrTa4 (PBE)

Data for a relaxed HoZrTa4 crystal.

Cell lengths 7.9693, 7.9693, 7.9693 Å; angles 90.00, 90.00, 90.00 degrees
Space group F-43m (No. 216)
Inequivalent atoms, fractional coordinates:
Ho (0.0000, 0.0000, 0.0000) [4 per cell]
Zr (0.2500, 0.2500, 0.7500) [4 per cell]
Ta (0.1251, 0.1251, 0.3749) [16 per cell]

Properties
E_form = 0.1813 eV/atom
D(E_F) = 2.211 states/eV/atom
crystal system = cubic

=====

(15)
## ScNi3Ir (PBE)

Data for a relaxed ScNi3Ir crystal.

Cell lengths 4.5235, 4.5235, 4.5235 Å; angles 90.00, 90.00, 90.00 degrees
Space group Pm-3m (No. 221)
Inequivalent atoms, fractional coordinates:
Sc (0.0000, 0.0000, 0.0000) [1 per cell]
Ni (0.0000, 0.5000, 0.5000) [3 per cell]
Ir (0.5000, 0.5000, 0.5000) [1 per cell]

Properties
E_form = 0.6623 eV/atom
D(E_F) = 0.976 states/eV/atom
crystal system = cubic
excess energy over the best structure of this formula in the dataset = 9.536 kcal/mol of atoms

=====

(16)
## TePdSe3 (PBE)

Data for a relaxed TePdSe3 crystal.

Cell lengths 4.9408, 4.9408, 4.9408 Å; angles 90.00, 90.00, 90.00 degrees
Space group Pm-3m (No. 221)
Inequivalent atoms, fractional coordinates:
Te (0.0000, 0.0000, 0.0000) [1 per cell]
Pd (0.5000, 0.5000, 0.5000) [1 per cell]
Se (0.0000, 0.5000, 0.5000) [3 per cell]

Properties
D(E_F) = 0.863 states/eV/atom
uncorrected formation energy = 351.1 meV/atom
crystal system = cubic
excess energy over the best structure of this formula in the dataset = 10.904 kcal/mol of atoms

=====

(17)
## TbGe2Pd8 (PBE)

Data for a relaxed TbGe2Pd8 crystal.

Cell lengths 7.5815, 11.2635, 4.5590 Å; angles 90.00, 106.74, 90.00 degrees
Space group C2/m (No. 12)
Inequivalent atoms, fractional coordinates:
Tb (0.0000, 0.0000, 0.0000) [2 per cell]
Ge (0.0000, 0.3200, 0.5000) [4 per cell]
Pd (0.0000, 0.2467, 0.0000) [4 per cell]
Pd (0.1098, 0.5000, 0.8160) [4 per cell]
Pd (0.1953, 0.1270, 0.5933) [8 per cell]

Properties
E_form = -0.5390 eV/atom
D(E_F) = 0.452 states/eV/atom
crystal system = monoclinic

=====

(18)
## BaPm2Cd (PBE)

Data for a relaxed BaPm2Cd crystal.

Cell lengths 3.9006, 3.9006, 9.6616 Å; angles 90.00, 90.00, 90.00 degrees
Space group P4/mmm (No. 123)
Inequivalent atoms, fractional coordinates:
Ba (0.0000, 0.0000, 0.0000) [1 per cell]
Pm (0.5000, 0.5000, 0.3138) [2 per cell]
Cd (0.0000, 0.0000, 0.5000) [1 per cell]

Properties
E_form = -0.0344 eV/atom
D(E_F) = 1.305 states/eV/atom
crystal system = tetragonal
excess energy over the best structure of this formula in the dataset = 0.000 kcal/mol of atoms

=====

(19)
## K2BaCo (PBE)

Data for a relaxed K2BaCo crystal.

Cell lengths 8.7747, 8.7747, 8.7747 Å; angles 90.00, 90.00, 90.00 degrees
Space group Fm-3m (No. 225)
Inequivalent atoms, fractional coordinates:
K (0.2500, 0.2500, 0.2500) [8 per cell]
Ba (0.0000, 0.0000, 0.0000) [4 per cell]
Co (0.0000, 0.0000, 0.5000) [4 per cell]

Properties
E_form = 0.8956 eV/atom
D(E_F) = 7.491 states/eV/atom
crystal system = cubic
excess energy over the best structure of this formula in the dataset = 8.541 kcal/mol of atoms

=====

(20)
## Nb3NiC (PBE)

Data for a relaxed Nb3NiC crystal.

Cell lengths 4.2501, 4.2501, 4.2501 Å; angles 90.00, 90.00, 90.00 degrees
Space group Pm-3m (No. 221)
Inequivalent atoms, fractional coordinates:
Nb (0.0000, 0.0000, 0.5000) [3 per cell]
Ni (0.5000, 0.5000, 0.5000) [1 per cell]
C (0.0000, 0.0000, 0.0000) [1 per cell]

Properties
E_form = -0.0511 eV/atom
D(E_F) = 1.282 states/eV/atom
crystal system = cubic
excess energy over the best structure of this formula in the dataset = 6.711 kcal/mol of atoms

=====

(21)
## Cr3InPd (PBE)

Data for a relaxed Cr3InPd crystal.

Cell lengths 4.8776, 4.8776, 4.8776 Å; angles 90.00, 90.00, 90.00 degrees
Space group Pm-3m (No. 221)
Inequivalent atoms, fractional coordinates:
Cr (0.0000, 0.0000, 0.5000) [3 per cell]
In (0.5000, 0.5000, 0.5000) [1 per cell]
Pd (0.0000, 0.0000, 0.0000) [1 per cell]

Properties
E_form = 1.1141 eV/atom
D(E_F) = 1.020 states/eV/atom
crystal system = cubic
excess energy over the best structure of this formula in the dataset = 0.000 kcal/mol of atoms

=====

(22)
## ZrPCCl2 (PBE)

Data for a relaxed ZrPCCl2 crystal.

Cell lengths 4.2697, 4.2697, 4.2867 Å; angles 90.00, 90.00, 90.00 degrees
Space group P4/mmm (No. 123)
Inequivalent atoms, fractional coordinates:
Zr (0.0000, 0.0000, 0.0000) [1 per cell]
P (0.5000, 0.5000, 0.0000) [1 per cell]
C (0.5000, 0.5000, 0.5000) [1 per cell]
Cl (0.0000, 0.5000, 0.5000) [2 per cell]

Properties
D(E_F) = 0.436 states/eV/atom
uncorrected formation energy = 727.7 meV/atom
crystal system = tetragonal
excess energy over the best structure of this formula in the dataset = 0.000 kcal/mol of atoms

=====

(23)
## SrAcSn2 (PBE)

Data for a relaxed SrAcSn2 crystal.

Cell lengths 4.5121, 6.6418, 9.3724 Å; angles 90.00, 90.00, 90.00 degrees
Space group Pmc2_1 (No. 26)
Inequivalent atoms, fractional coordinates:
Sr (0.0000, 0.1326, 0.0000) [2 per cell]
Ac (0.5000, 0.3610, 0.6369) [2 per cell]
Sn (0.0000, 0.3958, 0.3580) [2 per cell]
Sn (0.5000, 0.1158, 0.2805) [2 per cell]

Properties
E_form = -0.6771 eV/atom
D(E_F) = 0.766 states/eV/atom
crystal system = orthorhombic

=====

(24)
## CePm8Ge6 (PBE)

Data for a relaxed CePm8Ge6 crystal.

Cell lengths 8.8454, 8.8454, 18.8074 Å; angles 90.00, 90.00, 120.00 degrees
Space group R-3 (No. 148, hexagonal axes)
Inequivalent atoms, fractional coordinates:
Ce (0.0000, 0.0000, 0.0000) [3 per cell]
Pm (0.0000, 0.0000, 0.3322) [6 per cell]
Pm (0.0017, 0.3309, 0.1038) [18 per cell]
Ge (0.0004, 0.3365, 0.9318) [18 per cell]

Properties
E_form = -0.6323 eV/atom
D(E_F) = 0.867 states/eV/atom
crystal system = trigonal

=====

(25)
## Er2HgIr (PBE)

Data for a relaxed Er2HgIr crystal.

Cell lengths 3.4827, 3.4827, 7.3980 Å; angles 90.00, 90.00, 90.00 degrees
Space group P4/mmm (No. 123)
Inequivalent atoms, fractional coordinates:
Er (0.0000, 0.0000, 0.2190) [2 per cell]
Hg (0.5000, 0.5000, 0.5000) [1 per cell]
Ir (0.5000, 0.5000, 0.0000) [1 per cell]

Properties
E_form = -0.7276 eV/atom
D(E_F) = 0.514 states/eV/atom
crystal system = tetragonal
excess energy over the best structure of this formula in the dataset = 0.000 kcal/mol of atoms

=====

Spin magnetization? In order: 0.0; 29.0; 0.0; 0.0; 1.0; 0.0; 0.0; 0.0; 0.0; 0.0; 0.0; 0.0; 27.8; 0.0; 2.3; 0.0; 0.0; 0.0; 5.3; 0.0; 12.4; 0.0; 0.0; 3.2; 0.0 μB per cell.
Calculated volume? In order: 304; 318; 86; 215; 319; 200; 221; 174; 236; 297; 667; 187; 521; 506; 93; 121; 373; 147; 676; 77; 116; 78; 281; 1274; 90 Å³ per cell.